{
  "formula": "CaBAuO5",
  "functional": "PBE",
  "state": "optimized geometry",
  "cell": [[5.406, 0.024, -0.056], [-1.555, 5.178, -0.056], [-1.668, -2.253, 6.432]],
  "species": ["Au", "Au", "O", "O", "O", "O", "O", "O", "O", "O", "O", "O", "Ca", "Ca", "B", "B"],
  "frac_coords": [[0.000, 0.000, 0.500], [0.000, 0.000, 0.000], [0.251, 0.419, 0.587], [0.672, 0.102, 0.359], [0.101, 0.899, 0.250], [0.581, 0.749, 0.913], [0.328, 0.898, 0.641], [0.102, 0.672, 0.859], [0.749, 0.581, 0.413], [0.898, 0.328, 0.141], [0.419, 0.251, 0.087], [0.899, 0.101, 0.750], [0.356, 0.644, 0.250], [0.644, 0.356, 0.750], [0.696, 0.304, 0.250], [0.304, 0.696, 0.750]],
  "formation_energy_uncorrected_ev_per_atom": -1.415,
  "total_energy_ev_per_atom": -6.008
}